An optimized crystal structure of Tm2AuS, computed with PBE-GGA.

a = 11.3056 Å, b = 11.3056 Å, c = 4.0662 Å
α = 90.00°, β = 90.00°, γ = 160.20°
Atoms (fractional coordinates):
Tm 0.0714 0.9286 0.7500
Tm 0.3147 0.6853 0.7500
Tm 0.6853 0.3147 0.2500
Tm 0.9286 0.0714 0.2500
Au 0.4528 0.5472 0.7500
Au 0.5472 0.4528 0.2500
S 0.1937 0.8063 0.7500
S 0.8063 0.1937 0.2500

Results
Calculated density   10694 kg/m3
Uncorrected energy   -0.20180 Ha/atom
Size of the total moment   0.00 μB per formula unit
Formation energy from raw total energies   -1.4042 eV/atom
SG   Cmcm
Energy above the lowest structure with this stoichiometry   0.00 eV/f.u.